No. 1
Crystalline Ta4ZnBiC2 at its relaxed geometry. Source: the Open Quantum Materials Database, functional GGA-PBE.

Cell and atoms, written as extended XYZ:
```
8
Lattice="-2.081 0.098 -2.473 1.667 -2.705 0.604 -10.093 -4.365 8.321" Properties=species:S:1:pos:R:3 pbc="T T T"
Bi -5.878 -3.019 2.713
C -2.011 -2.821 1.580
C -7.247 -5.085 5.896
Ta -2.415 -1.521 -0.142
Ta -3.285 -1.421 2.708
Ta -6.809 -2.945 5.613
Ta -9.342 -4.517 5.568
Zn 0.000 0.000 0.000
```

Its symmetry is P-6m2. The raw total energy is -72.66 eV/cell. The crystal system is hexagonal. As for the magnetization: 0.0 μB/f.u.

---

No. 2
Crystalline BePt2W at its relaxed geometry. Source: the Open Quantum Materials Database, functional GGA-PBE.

Cell and atoms, written as extended XYZ:
```
4
Lattice="0.000 3.058 3.058 3.058 0.000 3.058 3.058 3.058 0.000" Properties=species:S:1:pos:R:3 pbc="T T T"
Be 3.058 3.058 3.058
Pt 0.000 0.000 0.000
Pt 4.588 4.588 4.588
W 1.529 1.529 1.529
```

Its symmetry is F-43m. The raw total energy is -28.91 eV/cell. The crystal system is cubic. As for the magnetization: 0.0 μB/f.u.

---

No. 3
Crystalline ZrBe at its relaxed geometry. Source: the Open Quantum Materials Database, functional GGA-PBE.

Cell and atoms, written as extended XYZ:
```
12
Lattice="6.931 -1.504 0.000 0.001 6.019 0.000 0.000 0.000 4.681" Properties=species:S:1:pos:R:3 pbc="T T T"
Be 4.076 -0.124 0.000
Be 2.226 0.997 0.000
Be 2.080 4.837 0.000
Be 3.936 2.013 2.341
Be 2.085 3.134 2.341
Be 4.082 4.192 2.341
Zr 0.433 2.834 0.000
Zr 3.957 2.890 0.000
Zr 6.613 4.551 0.000
Zr 2.204 0.120 2.341
Zr 5.728 0.176 2.341
Zr 6.480 2.974 2.341
```

Its symmetry is P2_1/m. The raw total energy is -71.46 eV/cell. The crystal system is monoclinic. As for the magnetization: 0.0 μB/f.u.

---

No. 4
Crystalline MgTaAsO at its relaxed geometry. Source: the Open Quantum Materials Database, functional GGA-PBE.

Cell and atoms, written as extended XYZ:
```
8
Lattice="-3.233 0.498 1.084 -1.564 -6.263 -1.787 1.458 -1.848 5.199" Properties=species:S:1:pos:R:3 pbc="T T T"
As 0.184 -2.134 1.530
As 0.071 -6.434 3.166
Mg -0.420 -4.639 0.877
Mg 0.707 -3.968 3.932
O -2.265 -5.214 1.119
O -0.715 -2.854 4.656
Ta -3.000 -6.238 -0.605
Ta -0.709 -0.906 3.780
```

Its symmetry is Pmc2_1. The raw total energy is -55.82 eV/cell. The crystal system is orthorhombic. Its offset from the most stable computed form is 0.0 kJ per mole of atoms. As for the magnetization: 0.0 μB/f.u.

---

No. 5
Crystalline KCuSnSe3 at its relaxed geometry. Source: the Open Quantum Materials Database, functional GGA-PBE.

Cell and atoms, written as extended XYZ:
```
24
Lattice="13.265 0.000 0.000 0.000 4.150 0.000 0.000 0.000 11.399" Properties=species:S:1:pos:R:3 pbc="T T T"
Cu 3.055 1.038 2.587
Cu 9.687 1.038 3.113
Cu 3.577 3.113 8.286
Cu 10.209 3.113 8.812
K 11.130 1.038 0.024
K 4.498 1.038 5.675
K 8.767 3.113 5.723
K 2.135 3.113 11.375
Se 5.039 1.038 0.200
Se 0.700 1.038 2.361
Se 10.695 3.113 2.613
Se 4.063 3.113 3.086
Se 7.332 1.038 3.338
Se 11.671 1.038 5.499
Se 1.594 3.113 5.899
Se 5.932 3.113 8.061
Se 9.202 1.038 8.313
Se 2.570 1.038 8.785
Se 12.564 3.113 9.037
Se 8.226 3.113 11.199
Sn 6.352 3.113 1.729
Sn 12.984 3.113 3.971
Sn 0.280 1.038 7.428
Sn 6.913 1.038 9.670
```

Its symmetry is Pnma. The raw total energy is -90.69 eV/cell. The crystal system is orthorhombic. Its offset from the most stable computed form is 1.6 kJ per mole of atoms.

---

No. 6
Crystalline GeBW at its relaxed geometry. Source: the Open Quantum Materials Database, functional GGA-PBE.

Cell and atoms, written as extended XYZ:
```
3
Lattice="0.000 2.860 2.860 2.860 0.000 2.860 2.860 2.860 0.000" Properties=species:S:1:pos:R:3 pbc="T T T"
B 1.430 1.430 1.430
Ge 4.290 4.290 4.290
W 0.000 0.000 0.000
```

Its symmetry is F-43m. The raw total energy is -20.61 eV/cell. The crystal system is cubic. Its offset from the most stable computed form is 36.2 kJ per mole of atoms. As for the magnetization: 0.0 μB/f.u.

---

No. 7
Crystalline SbPIrO at its relaxed geometry. Source: the Open Quantum Materials Database, functional GGA-PBE.

Cell and atoms, written as extended XYZ:
```
8
Lattice="3.336 0.000 0.000 0.000 7.342 0.000 0.000 0.000 5.430" Properties=species:S:1:pos:R:3 pbc="T T T"
Ir 1.668 1.385 2.532
Ir 1.668 5.957 5.248
O 1.668 0.576 0.552
O 1.668 6.766 3.267
P 0.000 2.745 1.758
P 0.000 4.598 4.473
Sb 0.000 5.429 1.966
Sb 0.000 1.913 4.682
```

Its symmetry is Pmc2_1. The raw total energy is -48.65 eV/cell. The crystal system is orthorhombic. Its offset from the most stable computed form is 30.3 kJ per mole of atoms. As for the magnetization: 0.0 μB/f.u.

---

No. 8
Crystalline Sc4ZnSiC2 at its relaxed geometry. Source: the Open Quantum Materials Database, functional GGA-PBE.

Cell and atoms, written as extended XYZ:
```
8
Lattice="-1.683 1.365 2.508 2.555 -2.018 0.623 8.796 11.093 -0.137" Properties=species:S:1:pos:R:3 pbc="T T T"
C 3.295 1.824 1.218
C 7.786 7.488 1.148
Sc 1.088 1.951 1.859
Sc 2.895 3.651 -0.045
Sc 5.901 7.442 -0.092
Sc 7.167 9.618 1.764
Si 0.000 0.000 0.000
Zn 4.127 5.784 1.811
```

Its symmetry is P-6m2. The raw total energy is -54.12 eV/cell. The crystal system is hexagonal. As for the magnetization: 1.0 μB/f.u.

---

No. 9
Crystalline TbSiPO at its relaxed geometry. Source: the Open Quantum Materials Database, functional GGA-PBE.

Cell and atoms, written as extended XYZ:
```
8
Lattice="1.623 0.915 3.845 -3.195 2.751 0.694 -3.852 -5.196 2.863" Properties=species:S:1:pos:R:3 pbc="T T T"
O 0.419 1.374 3.058
O -1.991 2.292 1.482
P -2.557 0.891 4.429
P -2.867 -2.420 2.973
Si -1.507 -1.224 4.489
Si -3.916 -0.306 2.913
Tb -0.884 0.254 1.500
Tb -4.539 -1.783 5.902
```

Its symmetry is P4/nmm. The raw total energy is -52.54 eV/cell. The crystal system is tetragonal. Its offset from the most stable computed form is 4.9 kJ per mole of atoms. As for the magnetization: 0.0 μB/f.u.

---

No. 10
Crystalline LiGdFe at its relaxed geometry. Source: the Open Quantum Materials Database, functional GGA-PBE.

Cell and atoms, written as extended XYZ:
```
3
Lattice="0.000 3.183 3.183 3.183 0.000 3.183 3.183 3.183 0.000" Properties=species:S:1:pos:R:3 pbc="T T T"
Fe 0.000 0.000 0.000
Gd 1.592 1.592 1.592
Li 4.775 4.775 4.775
```

Its symmetry is F-43m. The raw total energy is -13.06 eV/cell. The crystal system is cubic. Its offset from the most stable computed form is 0.0 kJ per mole of atoms. As for the magnetization: 1.8 μB/f.u.

---

No. 11
Crystalline Cd2GeMoP4 at its relaxed geometry. Source: the Open Quantum Materials Database, functional GGA-PBE.

Cell and atoms, written as extended XYZ:
```
8
Lattice="-2.900 2.900 5.536 2.900 -2.900 5.536 2.900 2.900 -5.536" Properties=species:S:1:pos:R:3 pbc="T T T"
Cd 0.000 0.000 5.536
Cd 0.000 2.900 2.768
Ge 0.000 0.000 0.000
Mo 2.900 0.000 2.768
P 1.671 -1.428 4.124
P 1.472 1.229 1.412
P 1.428 1.671 6.948
P 1.229 4.328 -1.412
```

Its symmetry is I-4. The raw total energy is -38.82 eV/cell. The crystal system is tetragonal. As for the magnetization: 0.1 μB/f.u.

---

No. 12
Crystalline BaMgPdPb at its relaxed geometry. Source: the Open Quantum Materials Database, functional GGA-PBE.

Cell and atoms, written as extended XYZ:
```
4
Lattice="-0.112 -2.165 4.832 -4.610 -0.554 2.547 -2.079 -4.821 0.694" Properties=species:S:1:pos:R:3 pbc="T T T"
Ba -3.401 -3.770 4.036
Mg -5.101 -5.655 6.054
Pb -1.700 -1.885 2.018
Pd 0.000 0.000 0.000
```

Its symmetry is F-43m. The raw total energy is -13.11 eV/cell. The crystal system is cubic. Its offset from the most stable computed form is 5.6 kJ per mole of atoms.